Mg2InPt2 | meta-GGA SCAN | single point on PBEsol structure

The total magnetization comes out at 0.0000 μB/atom. The value obtained for the uncorrected energy is -375.24 eV for the cell shown. The calculation puts the formation energy at -0.78 eV per atom.

Cell and atoms, written as CIF:
```
data_Mg2InPt2
_chemical_formula_sum 'Mg4 In2 Pt4'
_cell_length_a 7.616
_cell_length_b 7.616
_cell_length_c 2.994
_cell_angle_alpha 90.00
_cell_angle_beta 90.00
_cell_angle_gamma 90.00
_space_group_name_H-M_alt 'P 4/m b m'
_space_group_IT_number 127
_space_group_name_Hall '-P 4 2ab'
loop_
_atom_site_label
_atom_site_type_symbol
_atom_site_fract_x
_atom_site_fract_y
_atom_site_fract_z
Mg1 Mg 0.146 0.354 0.000
In1 In 0.000 0.000 0.500
Pt1 Pt 0.149 0.649 0.500
```

=====

TiTl3Ni | meta-GGA SCAN | single point on PBEsol structure

The total magnetization comes out at 0.4350 μB/atom. The value obtained for the uncorrected energy is -246.69 eV for the cell shown. The calculation puts the formation energy at 0.52 eV per atom.

Cell and atoms, written as CIF:
```
data_TiTl3Ni
_chemical_formula_sum 'Ti1 Tl3 Ni1'
_cell_length_a 4.910
_cell_length_b 4.910
_cell_length_c 4.910
_cell_angle_alpha 90.00
_cell_angle_beta 90.00
_cell_angle_gamma 90.00
_space_group_name_H-M_alt 'P m -3 m'
_space_group_IT_number 221
_space_group_name_Hall '-P 4 2 3'
loop_
_atom_site_label
_atom_site_type_symbol
_atom_site_fract_x
_atom_site_fract_y
_atom_site_fract_z
Ti1 Ti 0.000 0.000 0.000
Tl1 Tl 0.000 0.500 0.500
Ni1 Ni 0.500 0.500 0.500
```

=====

ZrBeRe | meta-GGA SCAN | single point on PBEsol structure

The calculation puts the energy above the most stable polymorph in this dataset at 0.0000 eV/atom. The total magnetization comes out at 0.0000 μB/atom. The value obtained for the uncorrected energy is -422.37 eV for the cell shown. The calculation puts the formation energy at 0.19 eV per atom.

Cell and atoms, written as CIF:
```
data_ZrBeRe
_chemical_formula_sum 'Zr4 Be4 Re4'
_cell_length_a 5.714
_cell_length_b 5.714
_cell_length_c 5.714
_cell_angle_alpha 90.00
_cell_angle_beta 90.00
_cell_angle_gamma 90.00
_space_group_name_H-M_alt 'F -4 3 m'
_space_group_IT_number 216
_space_group_name_Hall 'F -4 2 3'
loop_
_atom_site_label
_atom_site_type_symbol
_atom_site_fract_x
_atom_site_fract_y
_atom_site_fract_z
Zr1 Zr 0.000 0.000 0.000
Be1 Be 0.250 0.250 0.750
Re1 Re 0.000 0.000 0.500
```

=====

B2NCl3 | meta-GGA SCAN | single point on PBEsol structure

The total magnetization comes out at 0.0000 μB/atom. The value obtained for the uncorrected energy is -658.32 eV for the cell shown. For the formation energy without anion corrections, the calculation gives -653.8 kJ/mol of formula units.

Cell and atoms, written as CIF:
```
data_B2NCl3
_chemical_formula_sum 'B24 N12 Cl36'
_cell_length_a 10.064
_cell_length_b 10.064
_cell_length_c 16.779
_cell_angle_alpha 90.00
_cell_angle_beta 90.00
_cell_angle_gamma 90.00
_space_group_name_H-M_alt 'P 41 21 2'
_space_group_IT_number 92
loop_
_space_group_symop_operation_xyz
'x,y,z'
'-y+1/2,x+1/2,z+1/4'
'-x,-y,z+1/2'
'y+1/2,-x+1/2,z+3/4'
'x+1/2,-y+1/2,-z+3/4'
'-y,-x,-z+1/2'
'-x+1/2,y+1/2,-z+1/4'
'y,x,-z'
loop_
_atom_site_label
_atom_site_type_symbol
_atom_site_fract_x
_atom_site_fract_y
_atom_site_fract_z
B1 B 0.016 0.100 0.065
B2 B 0.096 0.096 0.500
B3 B 0.127 0.293 0.133
B4 B 0.209 0.209 0.000
N1 N 0.007 0.007 0.000
N2 N 0.118 0.200 0.066
Cl1 Cl 0.045 0.568 0.374
Cl2 Cl 0.073 0.243 0.553
Cl3 Cl 0.092 0.899 0.857
Cl4 Cl 0.167 0.833 0.250
Cl5 Cl 0.196 0.243 0.223
```